# 1
# RbCdIn4Hg2 GGA-PBE optimized geometry
data_RbCdIn4Hg2
_symmetry_space_group_name_H-M 'P 4/m m m'
_symmetry_Int_Tables_number 123
_symmetry_space_group_name_Hall '-P 4 2'
_cell_length_a 5.042
_cell_length_b 5.042
_cell_length_c 9.604
_cell_angle_alpha 90.00
_cell_angle_beta 90.00
_cell_angle_gamma 90.00
loop_
_atom_site_label
_atom_site_fract_x
_atom_site_fract_y
_atom_site_fract_z
_atom_site_occupancy
Rb1 0.000 0.000 0.000 1
Cd1 0.000 0.000 0.500 1
In1 0.000 0.500 0.329 1
Hg1 0.500 0.500 0.152 1
# - Energy of formation: -8.1 kJ/mol of atoms
# - Size of the total moment: 0.0 μB/cell



# 2
# DySi2Bi2Pt7 GGA-PBE optimized geometry
data_DySi2Bi2Pt7
_symmetry_space_group_name_H-M 'I 4/m m m'
_symmetry_Int_Tables_number 139
_symmetry_space_group_name_Hall '-I 4 2'
_cell_length_a 4.014
_cell_length_b 4.014
_cell_length_c 30.162
_cell_angle_alpha 90.00
_cell_angle_beta 90.00
_cell_angle_gamma 90.00
loop_
_atom_site_label
_atom_site_fract_x
_atom_site_fract_y
_atom_site_fract_z
_atom_site_occupancy
Dy1 0.000 0.000 0.000 1
Si1 0.000 0.000 0.383 1
Bi1 0.000 0.000 0.209 1
Pt1 0.000 0.000 0.305 1
Pt2 0.000 0.000 0.500 1
Pt3 0.000 0.500 0.073 1
# - Formation energy from raw total energies: -660 meV/atom
# - Size of the total moment: 0.0 μB/cell



# 3
# Ca5TmHg6 GGA-PBE optimized geometry
data_Ca5TmHg6
_symmetry_space_group_name_H-M 'C 1 2/m 1'
_symmetry_Int_Tables_number 12
_cell_length_a 16.834
_cell_length_b 7.527
_cell_length_c 5.322
_cell_angle_alpha 90.00
_cell_angle_beta 108.38
_cell_angle_gamma 90.00
loop_
_symmetry_equiv_pos_as_xyz
'x,y,z'
'-x,-y,-z'
'-x,y,-z'
'x,-y,z'
'x+1/2,y+1/2,z'
'-x+1/2,-y+1/2,-z'
'-x+1/2,y+1/2,-z'
'x+1/2,-y+1/2,z'
loop_
_atom_site_label
_atom_site_fract_x
_atom_site_fract_y
_atom_site_fract_z
_atom_site_occupancy
Ca1 0.000 0.000 0.000 1
Ca2 0.164 0.000 0.664 1
Ca3 0.171 0.500 0.670 1
Tm1 0.000 0.500 0.000 1
Hg1 0.000 0.267 0.500 1
Hg2 0.162 0.258 0.162 1
# - Energy of formation: -52.4 kJ/mol of atoms
# - Size of the total moment: 0.0 μB/cell



# 4
# Sr2BiH GGA-PBE optimized geometry
data_Sr2BiH
_symmetry_space_group_name_H-M 'P 1 2/c 1'
_symmetry_Int_Tables_number 13
_cell_length_a 6.753
_cell_length_b 6.430
_cell_length_c 15.335
_cell_angle_alpha 90.00
_cell_angle_beta 114.60
_cell_angle_gamma 90.00
loop_
_symmetry_equiv_pos_as_xyz
'x,y,z'
'-x,-y,-z'
'-x,y,-z+1/2'
'x,-y,z+1/2'
loop_
_atom_site_label
_atom_site_fract_x
_atom_site_fract_y
_atom_site_fract_z
_atom_site_occupancy
Sr1 0.120 0.189 0.118 1
Sr2 0.337 0.251 0.905 1
Bi1 0.358 0.250 0.359 1
H1 0.010 0.180 0.935 1
# - Energy relative to the lowest polymorph listed for this composition: 0.060 eV/atom
# - Size of the total moment: 0.0 μB/cell



# 5
# Ba8P4Cl3 GGA-PBE optimized geometry
data_Ba8P4Cl3
_symmetry_space_group_name_H-M 'C 1 2/m 1'
_symmetry_Int_Tables_number 12
_cell_length_a 13.088
_cell_length_b 13.295
_cell_length_c 9.274
_cell_angle_alpha 90.00
_cell_angle_beta 134.75
_cell_angle_gamma 90.00
loop_
_symmetry_equiv_pos_as_xyz
'x,y,z'
'-x,-y,-z'
'-x,y,-z'
'x,-y,z'
'x+1/2,y+1/2,z'
'-x+1/2,-y+1/2,-z'
'-x+1/2,y+1/2,-z'
'x+1/2,-y+1/2,z'
loop_
_atom_site_label
_atom_site_fract_x
_atom_site_fract_y
_atom_site_fract_z
_atom_site_occupancy
Ba1 0.000 0.239 0.000 1
Ba2 0.000 0.260 0.500 1
Ba3 0.248 0.000 0.472 1
Ba4 0.249 0.500 0.989 1
P1 0.000 0.000 0.000 1
P2 0.000 0.500 0.500 1
P3 0.250 0.250 0.000 1
Cl1 0.000 0.000 0.500 1
Cl2 0.250 0.250 0.500 1
# - Formation energy from raw total energies: -1442 meV/atom
# - Size of the total moment: 2.0 μB/cell



# 6
# Dy3Y4Al4 GGA-PBE optimized geometry
data_Dy3Y4Al4
_symmetry_space_group_name_H-M 'I m m m'
_symmetry_Int_Tables_number 71
_symmetry_space_group_name_Hall '-I 2 2'
_cell_length_a 5.136
_cell_length_b 6.751
_cell_length_c 17.043
_cell_angle_alpha 90.00
_cell_angle_beta 90.00
_cell_angle_gamma 90.00
loop_
_atom_site_label
_atom_site_fract_x
_atom_site_fract_y
_atom_site_fract_z
_atom_site_occupancy
Dy1 0.000 0.000 0.000 1
Dy2 0.000 0.500 0.098 1
Y1 0.000 0.264 0.320 1
Al1 0.000 0.000 0.173 1
Al2 0.000 0.203 0.500 1
# - Energy of formation: -18.4 kJ/mol of atoms
# - Size of the total moment: 0.0 μB/cell



# 7
# HoAgS2 GGA-PBE optimized geometry
data_HoAgS2
_symmetry_space_group_name_H-M 'R 3 m'
_symmetry_Int_Tables_number 160
_symmetry_space_group_name_Hall 'R 3 -2"'
_cell_length_a 3.8456
_cell_length_b 3.8456
_cell_length_c 20.0596
_cell_angle_alpha 90.00
_cell_angle_beta 90.00
_cell_angle_gamma 120.00
loop_
_atom_site_label
_atom_site_fract_x
_atom_site_fract_y
_atom_site_fract_z
_atom_site_occupancy
Ho1 0.0000 0.0000 0.0000 1
Ag1 0.0000 0.0000 0.1675 1
S1 0.0000 0.0000 0.5846 1
S2 0.0000 0.0000 0.7477 1
# - Formation energy from raw total energies: -1168 meV/atom
# - Size of the total moment: 0.0 μB/cell



# 8
# AlAgBi2Se GGA-PBE optimized geometry
data_AlAgBi2Se
_symmetry_space_group_name_H-M 'P 4/m m m'
_symmetry_Int_Tables_number 123
_symmetry_space_group_name_Hall '-P 4 2'
_cell_length_a 5.507
_cell_length_b 5.507
_cell_length_c 4.817
_cell_angle_alpha 90.00
_cell_angle_beta 90.00
_cell_angle_gamma 90.00
loop_
_atom_site_label
_atom_site_fract_x
_atom_site_fract_y
_atom_site_fract_z
_atom_site_occupancy
Al1 0.000 0.000 0.000 1
Ag1 0.500 0.500 0.500 1
Bi1 0.000 0.500 0.000 1
Se1 0.000 0.000 0.500 1
# - Formation energy from raw total energies: 464 meV/atom
# - Size of the total moment: 0.0 μB/cell



# 9
# Er8Tm5Pu GGA-PBE optimized geometry
data_Er8Tm5Pu
_symmetry_space_group_name_H-M 'I -4'
_symmetry_Int_Tables_number 82
_cell_length_a 9.801
_cell_length_b 9.801
_cell_length_c 9.042
_cell_angle_alpha 90.00
_cell_angle_beta 90.00
_cell_angle_gamma 90.00
loop_
_symmetry_equiv_pos_as_xyz
'x,y,z'
'y,-x,-z'
'-x,-y,z'
'-y,x,-z'
'x+1/2,y+1/2,z+1/2'
'y+1/2,-x+1/2,-z+1/2'
'-x+1/2,-y+1/2,z+1/2'
'-y+1/2,x+1/2,-z+1/2'
loop_
_atom_site_label
_atom_site_fract_x
_atom_site_fract_y
_atom_site_fract_z
_atom_site_occupancy
Er1 0.034 0.161 0.190 1
Er2 0.150 0.257 0.541 1
Tm1 0.000 0.500 0.250 1
Tm2 0.078 0.340 0.877 1
Pu1 0.000 0.000 0.500 1
# - Energy of formation: 29.0 kJ/mol of atoms
# - Size of the total moment: 10.9 μB/cell



# 10
# Sr2GaCu6Si GGA-PBE optimized geometry
data_Sr2GaCu6Si
_symmetry_space_group_name_H-M 'I m m m'
_symmetry_Int_Tables_number 71
_symmetry_space_group_name_Hall '-I 2 2'
_cell_length_a 6.546
_cell_length_b 6.560
_cell_length_c 9.261
_cell_angle_alpha 90.00
_cell_angle_beta 90.00
_cell_angle_gamma 90.00
loop_
_atom_site_label
_atom_site_fract_x
_atom_site_fract_y
_atom_site_fract_z
_atom_site_occupancy
Sr1 0.000 0.000 0.250 1
Ga1 0.000 0.500 0.000 1
Cu1 0.000 0.500 0.254 1
Cu2 0.246 0.255 0.500 1
Si1 0.000 0.500 0.500 1
# - Formation energy from raw total energies: -17 meV/atom
# - Size of the total moment: 0.0 μB/cell



# 11
# BeCu4Cl GGA-PBE optimized geometry
data_BeCu4Cl
_symmetry_space_group_name_H-M 'F -4 3 m'
_symmetry_Int_Tables_number 216
_symmetry_space_group_name_Hall 'F -4 2 3'
_cell_length_a 6.963
_cell_length_b 6.963
_cell_length_c 6.963
_cell_angle_alpha 90.00
_cell_angle_beta 90.00
_cell_angle_gamma 90.00
loop_
_atom_site_label
_atom_site_fract_x
_atom_site_fract_y
_atom_site_fract_z
_atom_site_occupancy
Be1 0.000 0.000 0.000 1
Cu1 0.126 0.126 0.374 1
Cl1 0.250 0.250 0.750 1
# - Formation energy from raw total energies: 476 meV/atom
# - Size of the total moment: 0.0 μB/cell



# 12
# SrPrNd4Se8 GGA-PBE optimized geometry
data_SrPrNd4Se8
_symmetry_space_group_name_H-M 'R 3 m'
_symmetry_Int_Tables_number 160
_symmetry_space_group_name_Hall 'R 3 -2"'
_cell_length_a 8.7811
_cell_length_b 8.7811
_cell_length_c 21.5689
_cell_angle_alpha 90.00
_cell_angle_beta 90.00
_cell_angle_gamma 120.00
loop_
_atom_site_label
_atom_site_fract_x
_atom_site_fract_y
_atom_site_fract_z
_atom_site_occupancy
Sr1 0.0000 0.0000 0.0000 1
Pr1 0.0000 0.0000 0.6271 1
Nd1 0.0000 0.0000 0.2505 1
Nd2 0.1690 0.3381 0.4580 1
Se1 0.0000 0.0000 0.3832 1
Se2 0.0000 0.0000 0.8635 1
Se3 0.0301 0.5151 0.3798 1
Se4 0.1765 0.3531 0.2055 1
# - Formation energy from raw total energies: -1801 meV/atom
# - Size of the total moment: 0.0 μB/cell